Mg2ZnAgC, optimized geometry, DFT PBE; formation energy from the elements = 33 kJ/mol of atoms
1.0
4.391 0.000 0.000
0.000 4.388 0.000
0.000 0.000 4.391
Mg C Ag Zn
2 1 1 1
Direct
0.500 0.000 0.000
0.000 0.000 0.500
0.000 0.000 0.000
0.000 0.500 0.000
0.500 0.500 0.500

=====

MgZrAgC2, optimized geometry, DFT PBE; formation energy from the elements = 200 kJ/mol of atoms
1.0
4.273 0.000 0.000
0.000 4.498 0.000
0.000 0.000 4.273
C Ag Zr Mg
2 1 1 1
Direct
0.000 0.000 0.500
0.500 0.000 0.000
0.000 0.000 0.000
0.500 0.500 0.500
0.000 0.500 0.000

=====

MnAgC3, optimized geometry, DFT PBE; formation energy from the elements = 176 kJ/mol of atoms
1.0
3.809 0.000 0.000
0.000 3.809 0.000
0.000 0.000 3.809
Ag C Mn
1 3 1
Direct
0.500 0.500 0.500
0.000 0.500 0.000
0.500 0.000 0.000
0.000 0.000 0.500
0.000 0.000 0.000

=====

MnAg2C2, optimized geometry, DFT PBE; formation energy from the elements = 149 kJ/mol of atoms
1.0
-0.504 -0.614 2.507
-2.056 -1.448 -0.767
4.028 -8.202 0.180
C Ag Mn
2 2 1
Direct
0.250 0.750 0.500
0.750 0.250 0.500
0.621 0.621 0.758
0.379 0.379 0.242
0.000 0.000 0.000

=====

MnAgC3, optimized geometry, DFT PBE; formation energy from the elements = 348 kJ/mol of atoms
1.0
4.045 0.000 0.000
0.000 4.045 0.000
0.000 0.000 4.045
C Ag Mn
3 1 1
Direct
0.000 0.000 0.500
0.500 0.000 0.000
0.000 0.500 0.000
0.000 0.000 0.000
0.500 0.500 0.500

=====

MnAg2C2, optimized geometry, DFT PBE; formation energy from the elements = 222 kJ/mol of atoms
1.0
6.774 0.000 0.000
0.000 6.774 0.000
0.000 0.000 2.741
Mn Ag C
2 4 4
Direct
0.000 0.000 0.000
0.500 0.500 0.000
0.861 0.639 0.000
0.639 0.139 0.000
0.361 0.861 0.000
0.139 0.361 0.000
0.323 0.177 0.500
0.177 0.677 0.500
0.677 0.823 0.500
0.823 0.323 0.500

=====

Q: The highest formation energy from the elements belongs to which entry?
A: number 5